Entry 1:
Density functional theory data (PBE) for a relaxed ScHg2Br2 crystal.

Calculated values
Its uncorrected formation energy is -0.6574 eV/atom. As for the total moment: 2.0 Bohr magnetons per cell. As for the space group: P4/mbm (127). As for the electronic total energy: -2.714 eV per atom. Its calculated density is 5.5 g/cm³. The calculation puts the energy above the most stable polymorph in this dataset at 0 meV/atom.

```
10
Lattice="7.162 0.000 0.000 0.000 7.162 0.000 0.000 0.000 7.083" Properties=species:S:1:pos:R:3 pbc="T T T"
Sc 0.000 0.000 0.000
Sc 3.581 3.581 0.000
Hg 1.209 4.790 3.541
Hg 4.790 5.953 3.541
Hg 5.953 2.372 3.541
Hg 2.372 1.209 3.541
Br 2.329 5.910 0.000
Br 5.910 4.833 0.000
Br 4.833 1.252 0.000
Br 1.252 2.329 0.000
```


Entry 2:
Density functional theory data (PBE) for a relaxed ScHgBr2 crystal.

Calculated values
Its uncorrected formation energy is -1.1227 eV/atom. As for the total moment: 0.0 Bohr magnetons per cell. As for the space group: C2/m (12). As for the electronic total energy: -3.617 eV per atom. Its calculated density is 5.3 g/cm³. The calculation puts the energy above the most stable polymorph in this dataset at 0 meV/atom.

```
4
Lattice="-0.290 -3.305 -1.710 -1.008 -3.024 1.942 -10.603 0.045 -2.087" Properties=species:S:1:pos:R:3 pbc="T T T"
Br -2.225 -6.108 0.033
Br -5.024 -3.363 -0.728
Hg -8.926 -4.713 -1.391
Sc -2.975 -1.571 -0.464
```


Entry 3:
Density functional theory data (PBE) for a relaxed ScHgBr2 crystal.

Calculated values
Its uncorrected formation energy is -0.4676 eV/atom. As for the total moment: 0.6 Bohr magnetons per cell. As for the space group: P2/m (10). As for the electronic total energy: -2.962 eV per atom. Its calculated density is 6.5 g/cm³. The calculation puts the energy above the most stable polymorph in this dataset at 655 meV/atom.

```
4
Lattice="-2.050 2.102 -2.315 -3.528 -4.680 -1.126 -5.076 -1.888 2.781" Properties=species:S:1:pos:R:3 pbc="T T T"
Br 0.000 0.000 0.000
Br -2.789 -1.289 -1.720
Hg -5.327 -2.233 -0.330
Sc -2.538 -0.944 1.390
```


Entry 4:
Density functional theory data (PBE) for a relaxed ScHgBr2 crystal.

Calculated values
Its uncorrected formation energy is -0.9926 eV/atom. As for the total moment: 0.3 Bohr magnetons per cell. As for the space group: Immm (71). As for the electronic total energy: -3.487 eV per atom. Its calculated density is 5.0 g/cm³. The calculation puts the energy above the most stable polymorph in this dataset at 130 meV/atom.

```
4
Lattice="7.543 0.285 -0.026 4.400 6.134 0.026 -5.272 -4.512 2.973" Properties=species:S:1:pos:R:3 pbc="T T T"
Br 1.214 0.652 0.000
Br 4.758 2.557 0.000
Hg 4.122 -0.508 1.473
Sc 2.550 2.416 1.500
```


Entry 5:
Density functional theory data (PBE) for a relaxed ScHgBr2 crystal.

Calculated values
Its uncorrected formation energy is -0.9456 eV/atom. As for the total moment: 0.7 Bohr magnetons per cell. As for the space group: Cmmm (65). As for the electronic total energy: -3.440 eV per atom. Its calculated density is 4.7 g/cm³. The calculation puts the energy above the most stable polymorph in this dataset at 177 meV/atom.

```
4
Lattice="3.930 0.000 0.000 -2.205 3.253 0.000 0.000 0.000 11.297" Properties=species:S:1:pos:R:3 pbc="T T T"
Br 0.000 0.000 10.388
Br 0.000 0.000 6.557
Hg 0.862 1.626 2.824
Sc 0.862 1.626 8.472
```


Entry 6:
Density functional theory data (PBE) for a relaxed ScHgBr3 crystal.

Calculated values
Its uncorrected formation energy is -1.3156 eV/atom. As for the total moment: 0.0 Bohr magnetons per cell. As for the space group: Pnma (62). As for the electronic total energy: -3.646 eV per atom. Its calculated density is 3.6 g/cm³. The calculation puts the energy above the most stable polymorph in this dataset at 35 meV/atom.

```
20
Lattice="6.686 0.000 0.000 0.000 18.971 0.000 0.000 0.000 7.019" Properties=species:S:1:pos:R:3 pbc="T T T"
Sc 5.001 4.743 1.755
Sc 5.028 14.229 5.264
Sc 1.685 14.229 5.264
Sc 1.658 4.743 1.755
Hg 0.000 0.000 3.509
Hg 3.343 9.486 0.000
Hg 3.343 0.000 0.000
Hg 0.000 9.486 3.509
Br 0.012 16.032 6.315
Br 3.331 6.546 2.805
Br 3.331 2.940 2.805
Br 6.674 6.546 0.704
Br 6.674 2.940 0.704
Br 3.355 12.425 4.214
Br 3.355 16.032 4.214
Br 0.012 12.425 6.315
Br 3.330 4.743 6.693
Br 0.012 14.229 3.184
Br 3.355 14.229 0.326
Br 6.673 4.743 3.835
```


Entry 7:
Density functional theory data (PBE) for a relaxed ScHgBr3 crystal.

Calculated values
Its uncorrected formation energy is -0.7926 eV/atom. As for the total moment: 0.0 Bohr magnetons per cell. As for the space group: Cmcm (63). As for the electronic total energy: -3.123 eV per atom. Its calculated density is 2.7 g/cm³. The calculation puts the energy above the most stable polymorph in this dataset at 558 meV/atom.

```
10
Lattice="3.914 3.995 9.016 -9.641 -0.917 -4.333 -0.862 -6.674 3.332" Properties=species:S:1:pos:R:3 pbc="T T T"
Sc -6.589 -1.402 -0.282
Sc 0.000 -2.194 8.297
Hg -8.471 -2.084 -2.135
Hg 1.881 -1.513 10.150
Br -4.253 -1.935 -0.746
Br -7.321 -0.287 1.762
Br 0.731 -3.310 6.252
Br -2.337 -1.661 8.761
Br 0.000 0.000 0.000
Br -0.431 -3.337 1.666
```


Entry 8:
Density functional theory data (PBE) for a relaxed ScHgBr3 crystal.

Calculated values
Its uncorrected formation energy is -1.2762 eV/atom. As for the total moment: 0.0 Bohr magnetons per cell. As for the space group: C2/m (12). As for the electronic total energy: -3.607 eV per atom. Its calculated density is 4.0 g/cm³. The calculation puts the energy above the most stable polymorph in this dataset at 74 meV/atom.

```
10
Lattice="-4.601 -20.458 16.575 -0.215 -10.396 3.080 3.896 9.686 -2.934" Properties=species:S:1:pos:R:3 pbc="T T T"
Sc -2.927 -22.266 13.768
Sc 2.007 1.098 2.953
Hg 0.890 -4.704 2.897
Hg -1.810 -16.464 13.824
Br -0.413 -10.805 6.088
Br -0.507 -10.363 10.632
Br 2.230 1.782 0.649
Br -3.149 -22.949 16.072
Br -1.114 -13.718 9.619
Br 0.194 -7.450 7.102
```


Entry 9:
Density functional theory data (PBE) for a relaxed ScHgBr2 crystal.

Calculated values
Its uncorrected formation energy is -0.9588 eV/atom. As for the total moment: 0.2 Bohr magnetons per cell. As for the space group: P2/m (10). As for the electronic total energy: -3.454 eV per atom. Its calculated density is 4.6 g/cm³. The calculation puts the energy above the most stable polymorph in this dataset at 164 meV/atom.

```
4
Lattice="3.764 0.000 0.000 0.000 3.777 -0.167 0.000 0.567 10.379" Properties=species:S:1:pos:R:3 pbc="T T T"
Br 0.000 3.364 9.511
Br 0.000 3.152 5.807
Hg 1.882 1.086 2.553
Sc 1.882 3.258 7.659
```


Entry 10:
Density functional theory data (PBE) for a relaxed ScHgBr2 crystal.

Calculated values
Its uncorrected formation energy is -1.1216 eV/atom. As for the total moment: 0.0 Bohr magnetons per cell. As for the space group: R-3m (166). As for the electronic total energy: -3.616 eV per atom. Its calculated density is 4.9 g/cm³. The calculation puts the energy above the most stable polymorph in this dataset at 1 meV/atom.

```
4
Lattice="2.154 0.000 11.382 -1.077 1.866 11.382 -1.077 -1.866 11.382" Properties=species:S:1:pos:R:3 pbc="T T T"
Sc 0.000 0.000 17.074
Hg 0.000 0.000 0.000
Br 0.000 0.000 30.138
Br 0.000 0.000 4.009
```


Entry 11:
Density functional theory data (PBE) for a relaxed ScHgBr3 crystal.

Calculated values
Its uncorrected formation energy is -1.3210 eV/atom. As for the total moment: 0.0 Bohr magnetons per cell. As for the space group: Pm (6). As for the electronic total energy: -3.651 eV per atom. Its calculated density is 4.0 g/cm³. The calculation puts the energy above the most stable polymorph in this dataset at 30 meV/atom.

```
10
Lattice="8.244 -0.001 0.001 0.005 6.688 0.022 -0.002 -0.137 7.263" Properties=species:S:1:pos:R:3 pbc="T T T"
Sc 4.889 2.550 1.035
Sc 4.892 5.894 1.045
Hg 0.766 0.811 3.944
Hg 0.768 4.144 5.374
Br 4.887 4.091 6.218
Br 4.886 0.870 3.115
Br 6.694 0.742 7.257
Br 6.698 4.217 2.077
Br 3.079 0.745 7.254
Br 3.084 4.220 2.078
```


Entry 12:
Density functional theory data (PBE) for a relaxed ScHg2Br2 crystal.

Calculated values
Its uncorrected formation energy is 0.1983 eV/atom. As for the total moment: 1.1 Bohr magnetons per cell. As for the space group: I4/mmm (139). As for the electronic total energy: -1.858 eV per atom. Its calculated density is 6.8 g/cm³. The calculation puts the energy above the most stable polymorph in this dataset at 856 meV/atom.

```
5
Lattice="-1.417 4.126 -1.889 -3.899 -2.120 -1.706 -5.858 2.437 3.735" Properties=species:S:1:pos:R:3 pbc="T T T"
Sc 0.000 0.000 0.000
Hg -3.341 1.309 -0.617
Hg -7.833 3.134 0.757
Br -4.967 3.783 0.024
Br -6.207 0.660 0.116
```


Entry 13:
Density functional theory data (PBE) for a relaxed ScHgBr3 crystal.

Calculated values
Its uncorrected formation energy is -1.2491 eV/atom. As for the total moment: 0.0 Bohr magnetons per cell. As for the space group: Fd-3m (227). As for the electronic total energy: -3.579 eV per atom. Its calculated density is 4.5 g/cm³. The calculation puts the energy above the most stable polymorph in this dataset at 102 meV/atom.

```
20
Lattice="0.000 7.109 7.109 7.109 0.000 7.109 7.109 7.109 0.000" Properties=species:S:1:pos:R:3 pbc="T T T"
Sc 1.777 1.777 1.777
Sc 5.332 1.777 5.332
Sc 1.777 5.332 5.332
Sc 5.332 5.332 1.777
Hg 8.886 8.886 8.886
Hg 5.332 8.886 5.332
Hg 8.886 5.332 5.332
Hg 5.332 5.332 8.886
Br 2.699 7.109 7.109
Br 6.253 3.555 3.555
Br 3.555 3.555 6.253
Br 0.856 3.555 3.555
Br 3.555 0.856 3.555
Br 7.109 11.519 7.109
Br 3.555 6.253 3.555
Br 3.555 3.555 0.856
Br 7.109 2.699 7.109
Br 11.519 7.109 7.109
Br 7.109 7.109 2.699
Br 7.109 7.109 11.519
```


Entry 14:
Density functional theory data (PBE) for a relaxed ScHgBr3 crystal.

Calculated values
Its uncorrected formation energy is -1.2952 eV/atom. As for the total moment: 0.0 Bohr magnetons per cell. As for the space group: Pmmm (47). As for the electronic total energy: -3.626 eV per atom. Its calculated density is 4.3 g/cm³. The calculation puts the energy above the most stable polymorph in this dataset at 55 meV/atom.

```
20
Lattice="27.701 0.000 -1.534 0.000 7.687 0.000 -9.718 0.000 4.025" Properties=species:S:1:pos:R:3 pbc="T T T"
Sc 8.991 5.765 1.247
Sc 8.992 1.922 1.244
Sc 17.983 1.921 2.490
Sc -0.001 5.765 0.001
Hg -4.859 1.918 2.012
Hg 22.842 5.768 0.479
Hg 4.132 5.762 3.258
Hg 13.850 1.925 -0.767
Br -0.363 5.764 2.636
Br 18.346 1.922 -0.145
Br -0.364 1.921 2.635
Br 18.346 5.766 -0.143
Br 7.157 3.844 0.989
Br 10.826 3.843 1.502
Br 1.834 0.000 0.257
Br 16.148 7.686 2.234
Br 7.157 0.001 0.993
Br 10.826 7.686 1.498
Br 1.834 3.844 0.253
Br 16.148 3.843 2.238
```


Entry 15:
Density functional theory data (PBE) for a relaxed ScHgBr3 crystal.

Calculated values
Its uncorrected formation energy is -1.2551 eV/atom. As for the total moment: 0.0 Bohr magnetons per cell. As for the space group: C2/m (12). As for the electronic total energy: -3.586 eV per atom. Its calculated density is 4.3 g/cm³. The calculation puts the energy above the most stable polymorph in this dataset at 96 meV/atom.

```
10
Lattice="19.452 0.000 5.884 6.111 2.741 -1.636 -6.111 2.741 1.636" Properties=species:S:1:pos:R:3 pbc="T T T"
Sc 23.622 2.741 3.849
Sc -4.170 2.741 2.035
Hg 5.722 2.741 4.361
Hg 13.730 2.741 1.523
Br 5.884 2.741 0.154
Br 13.568 2.741 5.730
Br 17.309 2.741 5.953
Br 2.143 2.741 -0.070
Br 9.598 2.741 0.643
Br 9.854 2.741 5.240
```


Entry 16:
Density functional theory data (PBE) for a relaxed ScHgBr2 crystal.

Calculated values
Its uncorrected formation energy is -0.4635 eV/atom. As for the total moment: 0.9 Bohr magnetons per cell. As for the space group: I-4m2 (119). As for the electronic total energy: -2.958 eV per atom. Its calculated density is 6.6 g/cm³. The calculation puts the energy above the most stable polymorph in this dataset at 659 meV/atom.

```
4
Lattice="-1.016 -5.858 0.979 2.138 -3.870 -4.094 2.142 4.663 3.159" Properties=species:S:1:pos:R:3 pbc="T T T"
Br 0.000 0.000 0.000
Br 2.420 -2.036 -1.246
Hg 0.561 -4.864 -1.558
Sc 0.843 -3.030 1.290
```


Entry 17:
Density functional theory data (PBE) for a relaxed ScHgBr3 crystal.

Calculated values
Its uncorrected formation energy is -1.2911 eV/atom. As for the total moment: 0.0 Bohr magnetons per cell. As for the space group: P1 (1). As for the electronic total energy: -3.621 eV per atom. Its calculated density is 4.5 g/cm³. The calculation puts the energy above the most stable polymorph in this dataset at 60 meV/atom.

```
5
Lattice="7.283 0.148 -0.019 -3.557 6.695 0.132 -0.051 0.992 3.677" Properties=species:S:1:pos:R:3 pbc="T T T"
Sc -2.393 5.534 1.990
Hg 3.851 0.704 1.397
Br 0.477 1.033 3.228
Br 2.889 4.328 2.308
Br -0.944 3.866 0.488
```


Entry 18:
Density functional theory data (PBE) for a relaxed ScHgBr3 crystal.

Calculated values
Its uncorrected formation energy is -1.2968 eV/atom. As for the total moment: 0.0 Bohr magnetons per cell. As for the space group: P-1 (2). As for the electronic total energy: -3.627 eV per atom. Its calculated density is 4.4 g/cm³. The calculation puts the energy above the most stable polymorph in this dataset at 54 meV/atom.

```
10
Lattice="8.064 -0.030 0.119 -3.566 6.685 0.358 -1.049 3.357 7.022" Properties=species:S:1:pos:R:3 pbc="T T T"
Sc 1.925 4.420 5.544
Sc -0.412 7.438 6.272
Hg 5.270 1.989 3.874
Hg -2.708 6.506 0.917
Br -0.317 5.434 4.509
Br 3.547 5.372 3.946
Br 1.092 6.414 0.467
Br 1.471 2.087 4.327
Br 2.879 3.066 0.287
Br -0.986 3.129 0.848
```


Entry 19:
Density functional theory data (PBE) for a relaxed ScHgBr3 crystal.

Calculated values
Its uncorrected formation energy is -1.0642 eV/atom. As for the total moment: 0.0 Bohr magnetons per cell. As for the space group: P6_3/mmc (194). As for the electronic total energy: -3.395 eV per atom. Its calculated density is 3.6 g/cm³. The calculation puts the energy above the most stable polymorph in this dataset at 286 meV/atom.

```
10
Lattice="0.806 4.633 -1.104 -4.527 -1.641 0.374 -0.087 5.167 21.617" Properties=species:S:1:pos:R:3 pbc="T T T"
Sc -2.815 4.325 16.094
Sc -0.994 3.833 4.793
Hg 0.000 0.000 0.000
Hg -0.044 2.583 10.808
Br -0.022 1.292 5.404
Br -0.065 3.875 16.212
Br -2.825 4.896 18.483
Br -2.805 3.754 13.704
Br -1.003 4.404 7.182
Br -0.984 3.262 2.403
```


Entry 20:
Density functional theory data (PBE) for a relaxed ScHgBr2 crystal.

Calculated values
Its uncorrected formation energy is -0.8807 eV/atom. As for the total moment: 0.0 Bohr magnetons per cell. As for the space group: Imm2 (44). As for the electronic total energy: -3.375 eV per atom. Its calculated density is 5.6 g/cm³. The calculation puts the energy above the most stable polymorph in this dataset at 242 meV/atom.

```
4
Lattice="-5.256 -5.936 1.671 -1.446 -5.253 5.998 1.054 7.301 -3.352" Properties=species:S:1:pos:R:3 pbc="T T T"
Br -0.600 -1.001 0.686
Br -3.865 -2.262 1.178
Hg -2.806 -4.684 3.210
Sc -1.729 -1.535 3.077
```